[1]
DFT (PBE-GGA) results for a geometry-optimized LiCeYZn structure.

Cell lengths 7.288, 7.288, 7.288 Å; angles 90.00, 90.00, 90.00 degrees
Space group F-43m (No. 216)
Inequivalent atoms, fractional coordinates:
Li 0.000 0.000 0.000 [4 per cell]
Ce 0.250 0.250 0.250 [4 per cell]
Y 0.250 0.250 0.750 [4 per cell]
Zn 0.000 0.000 0.500 [4 per cell]

**D(E_F)**: 7.92 states/eV/f.u.
**Crystal system**: cubic
**V**: 24.2 Å³/atom
**Formation energy from the elements**: -31 meV per atom

=====

[2]
DFT (PBE-GGA) results for a geometry-optimized Sc2CdTc structure.

Cell lengths 3.486, 4.847, 9.548 Å; angles 90.00, 90.00, 90.00 degrees
Space group Cmm2 (No. 35)
Inequivalent atoms, fractional coordinates:
Sc 0.000 0.000 0.000 [2 per cell]
Sc 0.000 0.500 0.293 [2 per cell]
Cd 0.000 0.000 0.558 [2 per cell]
Tc 0.000 0.500 0.793 [2 per cell]

**D(E_F)**: 5.67 states/eV/f.u.
**Crystal system**: orthorhombic
**V**: 20.2 Å³/atom
**Formation energy from the elements**: 146 meV per atom